NdHfP2Rh5: relaxed, PBE.

The structure belongs to space group P4/mmm (No. 123); the cell edges are 4.0627, 4.0627 and 10.2306 Å and the angles 90.00°, 90.00° and 90.00°. The inequivalent atoms are Nd at (0.0000, 0.0000, 0.0000), Hf at (0.0000, 0.0000, 0.5000), P at (0.5000, 0.5000, 0.2217), Rh at (0.0000, 0.5000, 0.3218) and Rh at (0.5000, 0.5000, 0.0000).

For the formation energy, the calculation gives -0.80 eV per atom. As for the density of states at the Fermi level: 2.664 states/eV per cell.